Record 1
Below is a relaxed BeNiPb crystal, with properties calculated at the GGA-PBE level.

The space group is F-43m (No. 216) and the conventional cell measures 5.871, 5.871 and 5.871 Å, with angles of 90.00, 90.00 and 90.00 degrees. The inequivalent atoms are Be at (0.000, 0.000, 0.000), Ni at (0.250, 0.250, 0.250) and Pb at (0.000, 0.000, 0.500).

For the distance to the lowest polymorph of the same formula, the calculation gives 30 meV/atom. The formation enthalpy at 0 K is 0.92 eV per formula unit.


Record 2
Below is a relaxed Be2NiPb crystal, with properties calculated at the GGA-PBE level.

The space group is I4_1/amd (No. 141, origin choice 2) and the conventional cell measures 4.128, 4.128 and 15.043 Å, with angles of 90.00, 90.00 and 90.00 degrees. The inequivalent atoms are Be at (0.000, 0.000, 0.000), Ni at (0.000, 0.250, 0.875) and Pb at (0.000, 0.250, 0.375).

The formation enthalpy at 0 K is 1.61 eV per formula unit.


Record 3
Below is a relaxed Be2NiPb crystal, with properties calculated at the GGA-PBE level.

The space group is C2/m (No. 12) and the conventional cell measures 6.601, 3.795 and 5.290 Å, with angles of 90.00, 112.81 and 90.00 degrees. The inequivalent atoms are Be at (0.183, 0.000, 0.051), Ni at (0.000, 0.500, 0.000) and Pb at (0.000, 0.000, 0.500).

The formation enthalpy at 0 K is 0.71 eV per formula unit.


Record 4
Below is a relaxed BeNiPb2 crystal, with properties calculated at the GGA-PBE level.

The space group is I-4m2 (No. 119) and the conventional cell measures 3.865, 3.865 and 10.753 Å, with angles of 90.00, 90.00 and 90.00 degrees. The inequivalent atoms are Be at (0.000, 0.000, 0.000), Ni at (0.000, 0.500, 0.750), Pb at (0.000, 0.000, 0.500) and Pb at (0.000, 0.500, 0.250).

The formation enthalpy at 0 K is 2.40 eV per formula unit.


Record 5
Below is a relaxed Be2Ni2Pb crystal, with properties calculated at the GGA-PBE level.

The space group is I4/mmm (No. 139) and the conventional cell measures 3.304, 3.304 and 12.035 Å, with angles of 90.00, 90.00 and 90.00 degrees. The inequivalent atoms are Be at (0.000, 0.500, 0.250), Ni at (0.000, 0.000, 0.120) and Pb at (0.000, 0.000, 0.500).

For the distance to the lowest polymorph of the same formula, the calculation gives 21 meV/atom. The formation enthalpy at 0 K is 0.56 eV per formula unit.


Record 6
Below is a relaxed BeNiPb2 crystal, with properties calculated at the GGA-PBE level.

The space group is P4mm (No. 99) and the conventional cell measures 3.118, 3.118 and 8.513 Å, with angles of 90.00, 90.00 and 90.00 degrees. The inequivalent atoms are Be at (0.000, 0.000, 0.000), Ni at (0.500, 0.500, 0.077), Pb at (0.000, 0.000, 0.321) and Pb at (0.500, 0.500, 0.746).

The formation enthalpy at 0 K is 0.64 eV per formula unit.


Record 7
Below is a relaxed BeNiPb2 crystal, with properties calculated at the GGA-PBE level.

The space group is I-42d (No. 122) and the conventional cell measures 4.600, 4.600 and 16.522 Å, with angles of 90.00, 90.00 and 90.00 degrees. The inequivalent atoms are Be at (0.000, 0.000, 0.000), Ni at (0.000, 0.000, 0.500) and Pb at (0.250, 0.250, 0.125).

The formation enthalpy at 0 K is 2.44 eV per formula unit.


Record 8
Below is a relaxed BeNiPb3 crystal, with properties calculated at the GGA-PBE level.

The space group is Pm-3m (No. 221) and the conventional cell measures 5.003, 5.003 and 5.003 Å, with angles of 90.00, 90.00 and 90.00 degrees. The inequivalent atoms are Be at (0.000, 0.000, 0.000), Ni at (0.500, 0.500, 0.500) and Pb at (0.000, 0.000, 0.500).

For the distance to the lowest polymorph of the same formula, the calculation gives 116 meV/atom. The formation enthalpy at 0 K is 3.68 eV per formula unit.


Look up the formation enthalpy at 0 K of the eighth one. 3.68 eV per formula unit


formation enthalpy at 0 K of number 3 (Be2NiPb)? 0.71 eV per formula unit